{"formula": "Nd12Cd6Ni", "functional": "GGA-PBE", "state": "optimized geometry", "final_energy_ev_per_cell": -70.3, "crystal_system": "trigonal", "dos_ef_per_ev_cell": 26.15, "spacegroup": "No. 148", "formation_enthalpy_0k_ev_per_atom": -0.09, "lattice_angstrom": [[8.1752, 0.6362, 0.7622], [-0.6105, 8.1772, 0.7622], [-0.6105, -0.7113, 8.1818]], "species": ["Nd", "Nd", "Nd", "Nd", "Nd", "Nd", "Nd", "Nd", "Nd", "Nd", "Nd", "Nd", "Cd", "Cd", "Cd", "Cd", "Cd", "Cd", "Ni"], "fractional_positions": [[0.8057, 0.5293, 0.4473], [0.4473, 0.8057, 0.5293], [0.5293, 0.4473, 0.8057], [0.1943, 0.4707, 0.5527], [0.5527, 0.1943, 0.4707], [0.4707, 0.5527, 0.1943], [0.0230, 0.1355, 0.3570], [0.8645, 0.6430, 0.9770], [0.6430, 0.9770, 0.8645], [0.9770, 0.8645, 0.6430], [0.1355, 0.3570, 0.0230], [0.3570, 0.0230, 0.1355], [0.7372, 0.8910, 0.2575], [0.7425, 0.2628, 0.1090], [0.1090, 0.7425, 0.2628], [0.2628, 0.1090, 0.7425], [0.2575, 0.7372, 0.8910], [0.8910, 0.2575, 0.7372], [0.0000, 0.0000, 0.0000]]}


{"formula": "Nd11Cd9Ni4", "functional": "GGA-PBE", "state": "optimized geometry", "final_energy_ev_per_cell": -92.2, "crystal_system": "orthorhombic", "dos_ef_per_ev_cell": 22.40, "spacegroup": "No. 65", "formation_enthalpy_0k_ev_per_atom": -0.35, "lattice_angstrom": [[3.7181, 0.0000, 0.0000], [0.0000, 12.3509, -5.2048], [0.0000, 0.0676, 13.4026]], "species": ["Nd", "Nd", "Nd", "Nd", "Nd", "Nd", "Nd", "Nd", "Nd", "Nd", "Nd", "Cd", "Cd", "Cd", "Cd", "Cd", "Cd", "Cd", "Cd", "Cd", "Ni", "Ni", "Ni", "Ni"], "fractional_positions": [[0.0000, 0.5829, 0.9198], [0.0000, 0.4171, 0.0802], [0.0000, 0.9198, 0.5829], [0.0000, 0.0802, 0.4171], [0.0000, 0.6263, 0.3737], [0.0000, 0.3737, 0.6263], [0.0000, 0.8392, 0.1608], [0.0000, 0.1608, 0.8392], [0.0000, 0.0000, 0.0000], [0.0000, 0.6889, 0.6889], [0.0000, 0.3111, 0.3111], [0.5000, 0.6343, 0.1608], [0.5000, 0.3657, 0.8392], [0.5000, 0.1608, 0.6343], [0.5000, 0.8392, 0.3657], [0.5000, 0.7813, 0.9210], [0.5000, 0.2187, 0.0790], [0.5000, 0.9210, 0.7813], [0.5000, 0.0790, 0.2187], [0.5000, 0.5000, 0.5000], [0.5000, 0.5496, 0.7499], [0.5000, 0.4504, 0.2501], [0.5000, 0.7499, 0.5496], [0.5000, 0.2501, 0.4504]]}